# 1
Entry from Alexandria: an optimized crystal structure of SmPaOs2 (GGA-PBE).

Computed properties:
The density comes out at 14.0 g/cm³. The calculated volume comes out at 22.65 Å³/atom. As for the space group: R-3m (166). The value obtained for the size of the total moment is 0.00 μB/f.u. The energy of formation is 0.1512 eV per atom.

abc: 7.877 7.877 7.877
angles: 27.28 27.28 27.28
Fractional coordinates of all 4 atoms:
Sm1 0.000 0.000 0.000
Pa1 0.500 0.500 0.500
Os1 0.243 0.243 0.243
Os2 0.757 0.757 0.757

---

# 2
Entry from Alexandria: an optimized crystal structure of SmPaOs (GGA-PBE).

Computed properties:
The density comes out at 12.1 g/cm³. The calculated volume comes out at 26.21 Å³/atom. As for the space group: F-43m (216). The value obtained for the size of the total moment is 0.77 μB/f.u. The energy of formation is 0.0573 eV per atom.

abc: 4.809 4.809 4.809
angles: 60.00 60.00 60.00
Fractional coordinates of all 3 atoms:
Sm1 0.000 0.000 0.000
Pa1 0.500 0.500 0.500
Os1 0.750 0.750 0.750

---

# 3
Entry from Alexandria: an optimized crystal structure of SmPaOs2 (GGA-PBE).

Computed properties:
The density comes out at 15.2 g/cm³. The calculated volume comes out at 20.79 Å³/atom. As for the space group: Fm-3m (225). The value obtained for the size of the total moment is 0.00 μB/f.u. The energy of formation is -0.0881 eV per atom.

abc: 4.899 4.899 4.899
angles: 60.00 60.00 60.00
Fractional coordinates of all 4 atoms:
Sm1 0.000 0.000 0.000
Pa1 0.500 0.500 0.500
Os1 0.250 0.250 0.250
Os2 0.750 0.750 0.750

---

# 4
Entry from Alexandria: an optimized crystal structure of SmPaOs (GGA-PBE).

Computed properties:
The density comes out at 13.5 g/cm³. The calculated volume comes out at 23.52 Å³/atom. As for the space group: I4mm (107). The value obtained for the size of the total moment is 0.00 μB/f.u. The energy of formation is -0.1603 eV per atom.

abc: 6.111 6.111 6.111
angles: 146.14 146.14 48.64
Fractional coordinates of all 3 atoms:
Sm1 0.000 0.000 0.000
Pa1 0.298 0.298 0.000
Os1 0.690 0.690 0.000

---

# 5
Entry from Alexandria: an optimized crystal structure of Sm3PaOs8 (GGA-PBE).

Computed properties:
The density comes out at 16.4 g/cm³. The calculated volume comes out at 18.54 Å³/atom. As for the space group: R3m (160). The value obtained for the size of the total moment is 0.00 μB/f.u. The energy of formation is -0.1955 eV per atom.

abc: 9.357 9.357 9.357
angles: 33.52 33.52 33.52
Fractional coordinates of all 12 atoms:
Sm1 0.000 0.000 0.000
Sm2 0.124 0.124 0.124
Sm3 0.626 0.626 0.626
Pa1 0.500 0.500 0.500
Os1 0.063 0.063 0.560
Os2 0.063 0.560 0.063
Os3 0.064 0.563 0.563
Os4 0.313 0.313 0.313
Os5 0.560 0.063 0.063
Os6 0.563 0.064 0.563
Os7 0.563 0.563 0.064
Os8 0.813 0.813 0.813

---

# 6
Entry from Alexandria: an optimized crystal structure of SmPaOs (GGA-PBE).

Computed properties:
The density comes out at 12.0 g/cm³. The calculated volume comes out at 26.35 Å³/atom. As for the space group: P3m1 (156). The value obtained for the size of the total moment is 0.00 μB/f.u. The energy of formation is 0.0709 eV per atom.

abc: 4.458 4.458 4.592
angles: 90.00 90.00 120.00
Fractional coordinates of all 3 atoms:
Sm1 0.000 0.000 0.000
Pa1 0.667 0.333 0.477
Os1 0.333 0.667 0.567

---

# 7
Entry from Alexandria: an optimized crystal structure of SmPaOs2 (GGA-PBE).

Computed properties:
The density comes out at 15.0 g/cm³. The calculated volume comes out at 21.12 Å³/atom. As for the space group: P4/mmm (123). The value obtained for the size of the total moment is 0.00 μB/f.u. The energy of formation is -0.1956 eV per atom.

abc: 3.502 3.502 6.889
angles: 90.00 90.00 90.00
Fractional coordinates of all 4 atoms:
Sm1 0.000 0.000 0.000
Pa1 0.000 0.000 0.500
Os1 0.500 0.500 0.281
Os2 0.500 0.500 0.719

---

# 8
Entry from Alexandria: an optimized crystal structure of SmPaTcOs (GGA-PBE).

Computed properties:
The density comes out at 13.3 g/cm³. The calculated volume comes out at 20.84 Å³/atom. As for the space group: F-43m (216). The value obtained for the size of the total moment is 0.00 μB/f.u. The energy of formation is -0.0705 eV per atom.

abc: 4.903 4.903 4.903
angles: 60.00 60.00 60.00
Fractional coordinates of all 4 atoms:
Sm1 0.000 0.000 0.000
Pa1 0.500 0.500 0.500
Tc1 0.750 0.750 0.750
Os1 0.250 0.250 0.250

---

# 9
Entry from Alexandria: an optimized crystal structure of Pa2SnOs2 (GGA-PBE).

Computed properties:
The density comes out at 15.0 g/cm³. The calculated volume comes out at 21.23 Å³/atom. As for the space group: P4/mbm (127). The value obtained for the size of the total moment is 0.00 μB/f.u. The energy of formation is -0.4296 eV per atom.

abc: 7.672 7.672 3.608
angles: 90.00 90.00 90.00
Fractional coordinates of all 10 atoms:
Pa1 0.167 0.333 0.000
Pa2 0.333 0.833 0.000
Pa3 0.667 0.167 0.000
Pa4 0.833 0.667 0.000
Sn1 0.000 0.000 0.500
Sn2 0.500 0.500 0.500
Os1 0.136 0.636 0.500
Os2 0.364 0.136 0.500
Os3 0.636 0.864 0.500
Os4 0.864 0.364 0.500

---

# 10
Entry from Alexandria: an optimized crystal structure of PaSnOs (GGA-PBE).

Computed properties:
The density comes out at 12.5 g/cm³. The calculated volume comes out at 23.98 Å³/atom. As for the space group: F-43m (216). The value obtained for the size of the total moment is 0.00 μB/f.u. The energy of formation is -0.1989 eV per atom.

abc: 4.668 4.668 4.668
angles: 60.00 60.00 60.00
Fractional coordinates of all 3 atoms:
Pa1 0.000 0.000 0.000
Sn1 0.500 0.500 0.500
Os1 0.250 0.250 0.250

---

# 11
Entry from Alexandria: an optimized crystal structure of PaSn2Os (GGA-PBE).

Computed properties:
The density comes out at 12.3 g/cm³. The calculated volume comes out at 22.28 Å³/atom. As for the space group: R-3m (166). The value obtained for the size of the total moment is 0.00 μB/f.u. The energy of formation is 0.0357 eV per atom.

abc: 5.660 5.660 5.660
angles: 47.16 47.16 47.16
Fractional coordinates of all 4 atoms:
Pa1 0.000 0.000 0.000
Sn1 0.226 0.226 0.226
Sn2 0.774 0.774 0.774
Os1 0.500 0.500 0.500

---

# 12
Entry from Alexandria: an optimized crystal structure of Pa2SnOs (GGA-PBE).

Computed properties:
The density comes out at 13.2 g/cm³. The calculated volume comes out at 24.27 Å³/atom. As for the space group: C2/m (12). The value obtained for the size of the total moment is 0.00 μB/f.u. The energy of formation is -0.3083 eV per atom.

abc: 6.929 6.929 7.369
angles: 91.08 91.08 33.29
Fractional coordinates of all 8 atoms:
Pa1 0.052 0.052 0.288
Pa2 0.235 0.235 0.703
Pa3 0.765 0.765 0.297
Pa4 0.948 0.948 0.712
Sn1 0.391 0.391 0.045
Sn2 0.609 0.609 0.955
Os1 0.393 0.393 0.442
Os2 0.607 0.607 0.558

---

Q: Which formula does entry 3 have?
A: SmPaOs2